Run P
The following is a DFT calculation (PBE) of crystalline In2SiCl at its relaxed geometry.

a b c (Å): 3.279 5.744 10.093
angles (deg): 90.00 90.00 90.00
Space group Cmm2 (No. 35)
Symmetry-distinct sites (fractional):
In 0.000 0.000 0.000 [2 per cell]
In 0.000 0.500 0.284 [2 per cell]
Si 0.000 0.000 0.527 [2 per cell]
Cl 0.000 0.500 0.716 [2 per cell]

Values from the calculation:
N(E_F): 0.3470 states/eV per atom
V: 23.762 A^3/atom

=====

Run Q
The following is a DFT calculation (PBE) of crystalline In2SiCl at its relaxed geometry.

a b c (Å): 3.526 3.526 7.599
angles (deg): 90.00 90.00 90.00
Space group P4/mmm (No. 123)
Symmetry-distinct sites (fractional):
In 0.000 0.000 0.222 [2 per cell]
Si 0.500 0.500 0.000 [1 per cell]
Cl 0.500 0.500 0.500 [1 per cell]

Values from the calculation:
N(E_F): 0.4279 states/eV per atom
V: 23.622 A^3/atom

=====

Going by the computed energies, the most stable comes first: run Q, run P.